{
  "formula": "LiGaRu3",
  "functional": "meta-GGA SCAN",
  "state": "PBEsol geometry",
  "magmom_total_mub_per_fu": 5.4,
  "dft_energy_ev_per_cell": -116.6,
  "e_form_ev_per_atom": 1.32,
  "space_group": "Pm-3m (221)",
  "lattice_angstrom": [[-2.9910, 1.3057, -3.1169], [-2.5427, -3.6112, 0.9272], [-2.2259, 2.3707, 3.1291]],
  "species": ["Ru", "Ru", "Ru", "Ga", "Li"],
  "fractional_positions": [[0.0000, 0.5000, 0.0000], [0.0000, 0.0000, 0.5000], [0.5000, 0.0000, 0.0000], [0.0000, 0.0000, 0.0000], [0.5000, 0.5000, 0.5000]]
}